# 1
Ba3YMo2O9: optimized geometry, GGA+U.

Summary:
* electronic total energy: -108.925 eV/cell
* DOS at the Fermi energy: 2.733 states/eV/f.u.
* V: 225.5 Å³ per cell

```
data_Ba3YMo2O9
_cell_length_a 5.9838
_cell_length_b 5.9838
_cell_length_c 7.2725
_cell_angle_alpha 90.00
_cell_angle_beta 90.00
_cell_angle_gamma 120.00
_symmetry_space_group_name_H-M 'P -3 m 1'
_symmetry_Int_Tables_number 164
_symmetry_space_group_name_Hall '-P 3 2"'
loop_
_atom_site_label
_atom_site_type_symbol
_atom_site_fract_x
_atom_site_fract_y
_atom_site_fract_z
Ba1 Ba 0.0000 0.0000 0.0000
Ba2 Ba 0.3333 0.6667 0.6709
Y1 Y 0.0000 0.0000 0.5000
Mo1 Mo 0.3333 0.6667 0.1614
O1 O 0.0000 0.5000 0.0000
O2 O 0.1744 0.3489 0.3178
```

---

# 2
BaYMo2O8: optimized geometry, GGA+U.

Summary:
* electronic total energy: -89.211 eV/cell
* DOS at the Fermi energy: 5.679 states/eV/f.u.
* V: 234.9 Å³ per cell

```
data_BaYMo2O8
_cell_length_a 5.9933
_cell_length_b 5.9933
_cell_length_c 7.5518
_cell_angle_alpha 90.00
_cell_angle_beta 90.00
_cell_angle_gamma 120.00
_symmetry_space_group_name_H-M 'P -3 m 1'
_symmetry_Int_Tables_number 164
_symmetry_space_group_name_Hall '-P 3 2"'
loop_
_atom_site_label
_atom_site_type_symbol
_atom_site_fract_x
_atom_site_fract_y
_atom_site_fract_z
Ba1 Ba 0.0000 0.0000 0.0000
Y1 Y 0.0000 0.0000 0.5000
Mo1 Mo 0.3333 0.6667 0.2292
O1 O 0.1645 0.3290 0.3037
O2 O 0.3333 0.6667 0.9930
```

---

# 3
BaY2Mo4O16: optimized geometry, GGA+U.

Summary:
* electronic total energy: -695.999 eV/cell
* DOS at the Fermi energy: 0.000 states/eV/f.u.
* V: 1344.9 Å³ per cell

```
data_BaY2Mo4O16
_cell_length_a 5.300
_cell_length_b 12.712
_cell_length_c 19.974
_cell_angle_alpha 90.00
_cell_angle_beta 92.06
_cell_angle_gamma 90.00
_symmetry_space_group_name_H-M 'C 1 2/c 1'
_symmetry_Int_Tables_number 15
loop_
_symmetry_equiv_pos_as_xyz
'x,y,z'
'-x,-y,-z'
'-x,y,-z+1/2'
'x,-y,z+1/2'
'x+1/2,y+1/2,z'
'-x+1/2,-y+1/2,-z'
'-x+1/2,y+1/2,-z+1/2'
'x+1/2,-y+1/2,z+1/2'
loop_
_atom_site_label
_atom_site_type_symbol
_atom_site_fract_x
_atom_site_fract_y
_atom_site_fract_z
Ba1 Ba 0.000 0.031 0.250
Y1 Y 0.003 0.148 0.469
Mo1 Mo 0.001 0.259 0.855
Mo2 Mo 0.012 0.440 0.089
O1 O 0.116 0.417 0.333
O2 O 0.124 0.136 0.829
O3 O 0.162 0.330 0.043
O4 O 0.175 0.239 0.566
O5 O 0.204 0.308 0.709
O6 O 0.228 0.451 0.600
O7 O 0.234 0.152 0.131
O8 O 0.240 0.018 0.535
```

---

# 4
Ba4YMo3O12: optimized geometry, GGA+U.

Summary:
* electronic total energy: -286.908 eV/cell
* DOS at the Fermi energy: 9.994 states/eV/f.u.
* V: 594.9 Å³ per cell

```
data_Ba4YMo3O12
_cell_length_a 8.410
_cell_length_b 8.410
_cell_length_c 8.410
_cell_angle_alpha 90.00
_cell_angle_beta 90.00
_cell_angle_gamma 90.00
_symmetry_space_group_name_H-M 'I m -3 m'
_symmetry_Int_Tables_number 229
_symmetry_space_group_name_Hall '-I 4 2 3'
loop_
_atom_site_label
_atom_site_type_symbol
_atom_site_fract_x
_atom_site_fract_y
_atom_site_fract_z
Ba1 Ba 0.250 0.250 0.250
Y1 Y 0.000 0.000 0.000
Mo1 Mo 0.000 0.000 0.500
O1 O 0.000 0.000 0.264
O2 O 0.000 0.250 0.500
```

---

# 5
Ba2YMoO6: optimized geometry, GGA+U.

Summary:
* electronic total energy: -74.171 eV/cell
* V: 154.5 Å³ per cell

```
data_Ba2YMoO6
_cell_length_a 5.983
_cell_length_b 6.007
_cell_length_c 6.012
_cell_angle_alpha 119.38
_cell_angle_beta 119.30
_cell_angle_gamma 90.98
_symmetry_space_group_name_H-M 'P -1'
_symmetry_Int_Tables_number 2
loop_
_symmetry_equiv_pos_as_xyz
'x,y,z'
'-x,-y,-z'
loop_
_atom_site_label
_atom_site_type_symbol
_atom_site_fract_x
_atom_site_fract_y
_atom_site_fract_z
Ba1 Ba 0.249 0.248 0.498
Y1 Y 0.000 0.500 0.000
Mo1 Mo 0.500 0.000 0.000
O1 O 0.238 0.214 0.001
O2 O 0.266 0.768 0.523
O3 O 0.290 0.739 0.991
```

---

# 6
Ba2YMoO6: optimized geometry, GGA+U.

Summary:
* electronic total energy: -437.110 eV/cell
* V: 967.3 Å³ per cell

```
data_Ba2YMoO6
_cell_length_a 6.1251
_cell_length_b 6.1251
_cell_length_c 29.7698
_cell_angle_alpha 90.00
_cell_angle_beta 90.00
_cell_angle_gamma 120.00
_symmetry_space_group_name_H-M 'R -3 m'
_symmetry_Int_Tables_number 166
_symmetry_space_group_name_Hall '-R 3 2"'
loop_
_atom_site_label
_atom_site_type_symbol
_atom_site_fract_x
_atom_site_fract_y
_atom_site_fract_z
Ba1 Ba 0.0000 0.0000 0.1357
Ba2 Ba 0.0000 0.0000 0.2754
Y1 Y 0.0000 0.0000 0.4080
Mo1 Mo 0.0000 0.0000 0.0000
Mo2 Mo 0.0000 0.0000 0.5000
O1 O 0.0134 0.5067 0.1269
O2 O 0.0316 0.5158 0.7042
```

---

# 7
Ba2YbMoO6: optimized geometry, GGA+U.

Summary:
* electronic total energy: -273.411 eV/cell
* DOS at the Fermi energy: 0.000 states/eV/f.u.
* V: 606.2 Å³ per cell

```
data_Ba2YbMoO6
_cell_length_a 8.463
_cell_length_b 8.463
_cell_length_c 8.463
_cell_angle_alpha 90.00
_cell_angle_beta 90.00
_cell_angle_gamma 90.00
_symmetry_space_group_name_H-M 'F m -3 m'
_symmetry_Int_Tables_number 225
_symmetry_space_group_name_Hall '-F 4 2 3'
loop_
_atom_site_label
_atom_site_type_symbol
_atom_site_fract_x
_atom_site_fract_y
_atom_site_fract_z
Ba1 Ba 0.250 0.250 0.250
Yb1 Yb 0.000 0.000 0.000
Mo1 Mo 0.000 0.000 0.500
O1 O 0.000 0.000 0.269
```

---

# 8
Ba2Zn2MoO6: optimized geometry, GGA+U.

Summary:
* electronic total energy: -190.777 eV/cell
* DOS at the Fermi energy: 6.063 states/eV/f.u.
* V: 520.5 Å³ per cell

```
data_Ba2Zn2MoO6
_cell_length_a 6.0306
_cell_length_b 6.0306
_cell_length_c 16.5268
_cell_angle_alpha 90.00
_cell_angle_beta 90.00
_cell_angle_gamma 120.00
_symmetry_space_group_name_H-M 'R -3 m'
_symmetry_Int_Tables_number 166
_symmetry_space_group_name_Hall '-R 3 2"'
loop_
_atom_site_label
_atom_site_type_symbol
_atom_site_fract_x
_atom_site_fract_y
_atom_site_fract_z
Ba1 Ba 0.0000 0.0000 0.2161
Zn1 Zn 0.0000 0.0000 0.4134
Mo1 Mo 0.0000 0.0000 0.0000
O1 O 0.0261 0.5130 0.7472
```

---

# 9
BaZnMo2O8: optimized geometry, GGA+U.

Summary:
* electronic total energy: -79.673 eV/cell
* DOS at the Fermi energy: 0.000 states/eV/f.u.
* V: 212.9 Å³ per cell

```
data_BaZnMo2O8
_cell_length_a 5.8221
_cell_length_b 5.8221
_cell_length_c 7.2541
_cell_angle_alpha 90.00
_cell_angle_beta 90.00
_cell_angle_gamma 120.00
_symmetry_space_group_name_H-M 'P -3 m 1'
_symmetry_Int_Tables_number 164
_symmetry_space_group_name_Hall '-P 3 2"'
loop_
_atom_site_label
_atom_site_type_symbol
_atom_site_fract_x
_atom_site_fract_y
_atom_site_fract_z
Ba1 Ba 0.0000 0.0000 0.0000
Zn1 Zn 0.0000 0.0000 0.5000
Mo1 Mo 0.3333 0.6667 0.2480
O1 O 0.1620 0.3240 0.3187
O2 O 0.3333 0.6667 0.0031
```

---

# 10
Ba3ZnMo2O9: optimized geometry, GGA+U.

Summary:
* electronic total energy: -98.642 eV/cell
* V: 211.6 Å³ per cell

```
data_Ba3ZnMo2O9
_cell_length_a 5.8696
_cell_length_b 5.8696
_cell_length_c 7.0906
_cell_angle_alpha 90.00
_cell_angle_beta 90.00
_cell_angle_gamma 120.00
_symmetry_space_group_name_H-M 'P -3 m 1'
_symmetry_Int_Tables_number 164
_symmetry_space_group_name_Hall '-P 3 2"'
loop_
_atom_site_label
_atom_site_type_symbol
_atom_site_fract_x
_atom_site_fract_y
_atom_site_fract_z
Ba1 Ba 0.0000 0.0000 0.0000
Ba2 Ba 0.3333 0.6667 0.6649
Zn1 Zn 0.0000 0.0000 0.5000
Mo1 Mo 0.3333 0.6667 0.1740
O1 O 0.0000 0.5000 0.0000
O2 O 0.1715 0.3431 0.3213
```

---

# 11
Ba2ZrMo3O12: optimized geometry, GGA+U.

Summary:
* electronic total energy: -396.623 eV/cell
* DOS at the Fermi energy: 1.859 states/eV/f.u.
* V: 896.2 Å³ per cell

```
data_Ba2ZrMo3O12
_cell_length_a 7.5297
_cell_length_b 7.5297
_cell_length_c 18.2532
_cell_angle_alpha 90.00
_cell_angle_beta 90.00
_cell_angle_gamma 120.00
_symmetry_space_group_name_H-M 'R -3 m'
_symmetry_Int_Tables_number 166
_symmetry_space_group_name_Hall '-R 3 2"'
loop_
_atom_site_label
_atom_site_type_symbol
_atom_site_fract_x
_atom_site_fract_y
_atom_site_fract_z
Ba1 Ba 0.0000 0.0000 0.1816
Zr1 Zr 0.0000 0.0000 0.5000
Mo1 Mo 0.0000 0.5000 0.0000
O1 O 0.0628 0.5314 0.1037
O2 O 0.0885 0.5443 0.3559
```